# GaCu3Au, relaxed, DFT PBE-GGA
# Crystal system = orthorhombic
# VASP energy = -3.564 eV per atom
# DOS(E_F) = 14.5 states/eV/cell
data_GaCu3Au
_cell_length_a 11.0871
_cell_length_b 7.6021
_cell_length_c 8.2358
_cell_angle_alpha 90.00
_cell_angle_beta 90.00
_cell_angle_gamma 90.00
_symmetry_space_group_name_H-M 'C m c m'
_symmetry_Int_Tables_number 63
_symmetry_space_group_name_Hall '-C 2c 2'
loop_
_atom_site_label
_atom_site_type_symbol
_atom_site_fract_x
_atom_site_fract_y
_atom_site_fract_z
_atom_site_occupancy
Ga1 Ga 0.0000 0.0019 0.2500 1
Ga2 Ga 0.0000 0.3695 0.2500 1
Cu1 Cu 0.0000 0.1813 0.5019 1
Cu2 Cu 0.1053 0.5000 0.0000 1
Cu3 Cu 0.1111 0.3091 0.7500 1
Au1 Au 0.2500 0.2500 0.0000 1

# GaCuAu, relaxed, DFT PBE-GGA
# Crystal system = trigonal
# VASP energy = -3.471 eV per atom
# DOS(E_F) = 2.1 states/eV/cell
data_GaCuAu
_cell_length_a 4.3511
_cell_length_b 4.3511
_cell_length_c 9.6660
_cell_angle_alpha 90.00
_cell_angle_beta 90.00
_cell_angle_gamma 120.00
_symmetry_space_group_name_H-M 'R 3 m'
_symmetry_Int_Tables_number 160
_symmetry_space_group_name_Hall 'R 3 -2"'
loop_
_atom_site_label
_atom_site_type_symbol
_atom_site_fract_x
_atom_site_fract_y
_atom_site_fract_z
_atom_site_occupancy
Ga1 Ga 0.0000 0.0000 0.0000 1
Cu1 Cu 0.0000 0.0000 0.7336 1
Au1 Au 0.0000 0.0000 0.2701 1

# GaCu4Au4, relaxed, DFT PBE-GGA
# Crystal system = tetragonal
# VASP energy = -3.649 eV per atom
# DOS(E_F) = 4.8 states/eV/cell
data_GaCu4Au4
_cell_length_a 8.4395
_cell_length_b 8.4395
_cell_length_c 3.8769
_cell_angle_alpha 90.00
_cell_angle_beta 90.00
_cell_angle_gamma 90.00
_symmetry_space_group_name_H-M 'I 4/m m m'
_symmetry_Int_Tables_number 139
_symmetry_space_group_name_Hall '-I 4 2'
loop_
_atom_site_label
_atom_site_type_symbol
_atom_site_fract_x
_atom_site_fract_y
_atom_site_fract_z
_atom_site_occupancy
Ga1 Ga 0.0000 0.0000 0.0000 1
Cu1 Cu 0.0000 0.3485 0.0000 1
Au1 Au 0.1672 0.1672 0.5000 1

# Ga2Cu5Au12, relaxed, DFT PBE-GGA
# Crystal system = monoclinic
# VASP energy = -3.458 eV per atom
# DOS(E_F) = 8.8 states/eV/cell
data_Ga2Cu5Au12
_cell_length_a 12.3039
_cell_length_b 8.0740
_cell_length_c 6.7831
_cell_angle_alpha 90.00
_cell_angle_beta 93.47
_cell_angle_gamma 90.00
_symmetry_space_group_name_H-M 'C 1 2/m 1'
_symmetry_Int_Tables_number 12
loop_
_symmetry_equiv_pos_as_xyz
'x,y,z'
'-x,-y,-z'
'-x,y,-z'
'x,-y,z'
'x+1/2,y+1/2,z'
'-x+1/2,-y+1/2,-z'
'-x+1/2,y+1/2,-z'
'x+1/2,-y+1/2,z'
loop_
_atom_site_label
_atom_site_type_symbol
_atom_site_fract_x
_atom_site_fract_y
_atom_site_fract_z
_atom_site_occupancy
Ga1 Ga 0.0000 0.2346 0.0000 1
Cu1 Cu 0.0000 0.5000 0.5000 1
Cu2 Cu 0.1903 0.0000 0.8450 1
Cu3 Cu 0.2228 0.5000 0.4881 1
Au1 Au 0.0218 0.0000 0.2652 1
Au2 Au 0.0911 0.5000 0.1513 1
Au3 Au 0.1160 0.2281 0.5647 1
Au4 Au 0.2090 0.1848 0.1745 1

Question: Which of these has the highest VASP energy?
Answer: Ga2Cu5Au12